[1]
DFT (GGA-PBEsol) results for Ti2P3H7NO13 after structural relaxation.

Computed properties:
* Fermi-level density of states: 0.28 states/eV per atom

Cell and atoms, written as POSCAR:
```
Ti2P3H7NO13
1.0
-3.915 0.238 -9.143
-8.639 -3.362 3.612
-3.003 9.360 1.530
Ti P H N O
8 12 28 4 52
direct
0.412 0.912 0.588
0.912 0.588 0.412
0.588 0.412 0.912
0.088 0.088 0.088
0.142 0.642 0.858
0.642 0.858 0.142
0.858 0.142 0.642
0.358 0.358 0.358
0.125 0.960 0.770
0.230 0.625 0.540
0.460 0.730 0.875
0.625 0.540 0.230
0.730 0.875 0.460
0.960 0.770 0.125
0.875 0.460 0.730
0.770 0.125 0.960
0.540 0.230 0.625
0.375 0.040 0.270
0.270 0.375 0.040
0.040 0.270 0.375
0.325 0.042 0.928
0.072 0.825 0.458
0.542 0.572 0.675
0.825 0.458 0.072
0.572 0.675 0.542
0.042 0.928 0.325
0.675 0.542 0.572
0.928 0.325 0.042
0.458 0.072 0.825
0.175 0.958 0.428
0.428 0.175 0.958
0.958 0.428 0.175
0.484 0.016 0.984
0.016 0.984 0.484
0.516 0.516 0.516
0.984 0.484 0.016
0.920 0.811 0.792
0.208 0.420 0.689
0.311 0.708 0.080
0.420 0.689 0.208
0.708 0.080 0.311
0.811 0.792 0.920
0.080 0.311 0.708
0.792 0.920 0.811
0.689 0.208 0.420
0.580 0.189 0.292
0.292 0.580 0.189
0.189 0.292 0.580
0.424 0.076 0.924
0.076 0.924 0.424
0.576 0.576 0.576
0.924 0.424 0.076
0.256 0.973 0.690
0.310 0.756 0.527
0.473 0.810 0.744
0.756 0.527 0.310
0.810 0.744 0.473
0.973 0.690 0.256
0.744 0.473 0.810
0.690 0.256 0.973
0.527 0.310 0.756
0.244 0.027 0.190
0.190 0.244 0.027
0.027 0.190 0.244
0.074 0.811 0.767
0.233 0.574 0.689
0.311 0.733 0.926
0.574 0.689 0.233
0.733 0.926 0.311
0.811 0.767 0.074
0.926 0.311 0.733
0.767 0.074 0.811
0.689 0.233 0.574
0.426 0.189 0.267
0.267 0.426 0.189
0.189 0.267 0.426
0.149 0.002 0.918
0.082 0.649 0.498
0.502 0.582 0.851
0.649 0.498 0.082
0.582 0.851 0.502
0.002 0.918 0.149
0.851 0.502 0.582
0.918 0.149 0.002
0.498 0.082 0.649
0.351 0.998 0.418
0.418 0.351 0.998
0.998 0.418 0.351
0.018 0.047 0.704
0.296 0.518 0.453
0.547 0.796 0.982
0.518 0.453 0.296
0.796 0.982 0.547
0.047 0.704 0.018
0.982 0.547 0.796
0.704 0.018 0.047
0.453 0.296 0.518
0.482 0.953 0.204
0.204 0.482 0.953
0.953 0.204 0.482
0.819 0.819 0.819
0.181 0.319 0.681
0.319 0.681 0.181
0.681 0.181 0.319
```

[2]
DFT (GGA-PBEsol) results for VPH5NO6 after structural relaxation.

Computed properties:
* Fermi-level density of states: 0.00 states/eV per atom

Cell and atoms, written as POSCAR:
```
VPH5NO6
1.0
6.800 0.000 0.000
0.000 8.702 0.000
0.000 0.000 9.086
V P H N O
4 4 20 4 24
direct
0.540 0.481 0.032
0.460 0.519 0.532
0.960 0.481 0.532
0.040 0.519 0.032
0.319 0.804 0.970
0.681 0.196 0.470
0.181 0.804 0.470
0.819 0.196 0.970
0.841 0.773 0.678
0.159 0.227 0.178
0.659 0.773 0.178
0.341 0.227 0.678
0.842 0.901 0.819
0.158 0.099 0.319
0.658 0.901 0.319
0.342 0.099 0.819
0.703 0.709 0.352
0.297 0.291 0.852
0.797 0.709 0.852
0.203 0.291 0.352
0.626 0.822 0.771
0.374 0.178 0.271
0.874 0.822 0.271
0.126 0.178 0.771
0.219 0.898 0.188
0.781 0.102 0.688
0.281 0.898 0.688
0.719 0.102 0.188
0.777 0.801 0.779
0.223 0.199 0.279
0.723 0.801 0.279
0.277 0.199 0.779
0.297 0.447 0.980
0.703 0.553 0.480
0.203 0.447 0.480
0.797 0.553 0.980
0.129 0.707 0.950
0.871 0.293 0.450
0.371 0.707 0.450
0.629 0.293 0.950
0.488 0.700 0.028
0.512 0.300 0.528
0.012 0.700 0.528
0.988 0.300 0.028
0.282 0.932 0.088
0.718 0.068 0.588
0.218 0.932 0.588
0.782 0.068 0.088
0.547 0.451 0.205
0.453 0.549 0.705
0.953 0.451 0.705
0.047 0.549 0.205
0.380 0.886 0.829
0.620 0.114 0.329
0.120 0.886 0.329
0.880 0.114 0.829
```

[3]
DFT (GGA-PBEsol) results for VPH7N2O5 after structural relaxation.

Cell and atoms, written as POSCAR:
```
VPH7N2O5
1.0
4.863 0.000 0.000
0.000 6.691 0.026
0.000 -0.105 8.424
V P H N O
2 2 14 4 10
direct
0.661 0.352 0.658
0.161 0.648 0.342
0.707 0.372 0.277
0.207 0.628 0.723
0.222 0.044 0.939
0.414 0.083 0.462
0.295 0.063 0.646
0.049 0.181 0.081
0.395 0.158 0.092
0.178 0.242 0.523
0.260 0.295 0.943
0.760 0.705 0.057
0.678 0.758 0.477
0.895 0.842 0.908
0.549 0.819 0.919
0.795 0.937 0.354
0.914 0.917 0.538
0.722 0.956 0.061
0.351 0.165 0.559
0.230 0.169 0.014
0.730 0.831 0.986
0.851 0.835 0.441
0.748 0.168 0.197
0.806 0.168 0.747
0.833 0.376 0.449
0.399 0.422 0.277
0.379 0.462 0.806
0.879 0.538 0.194
0.899 0.578 0.723
0.333 0.624 0.551
0.306 0.832 0.253
0.248 0.832 0.803
```

[4]
DFT (GGA-PBEsol) results for ZnP4H16N2O16 after structural relaxation.

Computed properties:
* Fermi-level density of states: 0.00 states/eV per atom

Cell and atoms, written as POSCAR:
```
ZnP4H16N2O16
1.0
7.076 -0.034 -0.033
-0.003 7.284 0.047
2.475 1.264 7.134
Zn P H N O
1 4 16 2 16
direct
0.000 0.500 0.000
0.167 0.749 0.259
0.833 0.251 0.741
0.754 0.778 0.264
0.246 0.222 0.736
0.425 0.285 0.325
0.575 0.715 0.675
0.554 0.320 0.091
0.446 0.680 0.909
0.323 0.403 0.168
0.653 0.832 0.816
0.879 0.299 0.348
0.121 0.701 0.652
0.347 0.168 0.184
0.120 0.837 0.798
0.238 0.987 0.010
0.762 0.013 0.990
0.426 0.724 0.428
0.574 0.276 0.572
0.677 0.597 0.832
0.880 0.163 0.202
0.413 0.294 0.191
0.587 0.706 0.809
0.929 0.757 0.357
0.054 0.721 0.783
0.946 0.279 0.217
0.760 0.310 0.575
0.748 0.051 0.845
0.797 0.383 0.881
0.252 0.949 0.155
0.071 0.243 0.643
0.775 0.979 0.157
0.225 0.021 0.843
0.570 0.750 0.446
0.430 0.250 0.554
0.758 0.631 0.146
0.242 0.369 0.854
0.240 0.690 0.425
0.203 0.617 0.119
```

[5]
DFT (GGA-PBEsol) results for ZnP3H12NO13 after structural relaxation.

Computed properties:
* Fermi-level density of states: 0.00 states/eV per atom

Cell and atoms, written as POSCAR:
```
ZnP3H12NO13
1.0
-3.311 4.893 4.183
0.817 -1.966 8.313
7.759 5.576 3.906
Zn P H N O
2 6 24 2 26
direct
0.000 0.000 0.000
0.500 0.500 0.500
0.698 0.771 0.068
0.302 0.229 0.932
0.147 0.118 0.225
0.853 0.882 0.775
0.932 0.479 0.245
0.068 0.521 0.755
0.193 0.666 0.063
0.807 0.334 0.937
0.336 0.778 0.043
0.664 0.222 0.957
0.579 0.221 0.399
0.421 0.779 0.601
0.380 0.842 0.443
0.620 0.158 0.557
0.384 0.688 0.263
0.616 0.312 0.737
0.259 0.554 0.308
0.741 0.446 0.692
0.493 0.106 0.285
0.507 0.894 0.715
0.668 0.180 0.184
0.332 0.820 0.816
0.804 0.916 0.346
0.196 0.084 0.654
0.023 0.765 0.392
0.977 0.235 0.608
0.173 0.168 0.486
0.827 0.832 0.514
0.815 0.705 0.417
0.185 0.295 0.583
0.868 0.803 0.418
0.132 0.197 0.582
0.482 0.794 0.125
0.518 0.206 0.875
0.798 0.874 0.105
0.202 0.126 0.895
0.286 0.200 0.095
0.714 0.800 0.905
0.825 0.569 0.108
0.175 0.431 0.892
0.265 0.052 0.344
0.735 0.948 0.656
0.065 0.002 0.190
0.935 0.998 0.810
0.959 0.282 0.253
0.041 0.718 0.747
0.786 0.527 0.368
0.214 0.473 0.632
0.131 0.509 0.217
0.869 0.491 0.783
0.767 0.234 0.002
0.233 0.766 0.998
0.542 0.257 0.490
0.458 0.743 0.510
0.318 0.616 0.346
0.682 0.384 0.654
0.619 0.130 0.282
0.381 0.870 0.718
```

[6]
DFT (GGA-PBEsol) results for PrH20S4N5O16 after structural relaxation.

Computed properties:
* Fermi-level density of states: 0.00 states/eV per atom

Cell and atoms, written as POSCAR:
```
PrH20S4N5O16
1.0
-4.238 5.926 -3.659
-8.994 -1.469 1.887
-1.202 9.420 7.568
Pr H S N O
2 40 8 10 32
direct
0.923 0.498 0.153
0.076 0.998 0.847
0.710 0.393 0.646
0.356 0.893 0.354
0.830 0.498 0.548
0.378 0.998 0.452
0.623 0.497 0.546
0.169 0.997 0.454
0.640 0.587 0.655
0.295 0.086 0.345
0.455 0.160 0.816
0.271 0.660 0.184
0.357 0.243 0.951
0.308 0.742 0.049
0.417 0.350 0.832
0.249 0.850 0.168
0.583 0.225 0.874
0.457 0.725 0.126
0.727 0.836 0.817
0.544 0.336 0.183
0.689 0.754 0.952
0.641 0.254 0.048
0.749 0.646 0.833
0.582 0.146 0.167
0.541 0.771 0.874
0.415 0.271 0.126
0.057 0.795 0.583
0.641 0.295 0.417
0.088 0.608 0.566
0.654 0.108 0.434
0.093 0.678 0.695
0.788 0.178 0.305
0.261 0.672 0.566
0.827 0.171 0.434
0.361 0.197 0.582
0.943 0.697 0.418
0.346 0.384 0.565
0.911 0.884 0.435
0.211 0.315 0.693
0.904 0.815 0.307
0.175 0.320 0.563
0.739 0.820 0.437
0.898 0.360 0.877
0.775 0.860 0.123
0.224 0.636 0.878
0.102 0.136 0.122
0.536 0.574 0.351
0.886 0.074 0.649
0.112 0.419 0.351
0.463 0.920 0.649
0.700 0.494 0.600
0.300 0.994 0.400
0.454 0.243 0.869
0.323 0.743 0.131
0.675 0.754 0.869
0.544 0.254 0.131
0.123 0.686 0.604
0.727 0.186 0.396
0.274 0.307 0.602
0.876 0.807 0.398
0.095 0.276 0.837
0.932 0.776 0.163
0.848 0.446 0.986
0.834 0.946 0.014
0.801 0.239 0.904
0.705 0.739 0.096
0.850 0.463 0.786
0.636 0.963 0.214
0.167 0.550 0.986
0.153 0.050 0.014
0.294 0.758 0.904
0.198 0.258 0.096
0.066 0.719 0.838
0.904 0.219 0.162
0.363 0.534 0.786
0.149 0.034 0.214
0.603 0.475 0.246
0.849 0.975 0.754
0.500 0.479 0.460
0.960 0.979 0.540
0.368 0.692 0.355
0.724 0.192 0.645
0.687 0.637 0.343
0.030 0.137 0.657
0.150 0.520 0.247
0.397 0.020 0.753
0.273 0.300 0.355
0.629 0.800 0.645
0.966 0.359 0.343
0.309 0.859 0.657
0.039 0.514 0.460
0.499 0.014 0.540
```

no.,DFT total energy (eV/atom)
1,-7.05
2,-6.68
3,-6.40
4,-6.00
5,-5.94
6,-5.83